Record 1
Compound: NaPaNb4N8
Source: Alexandria
Functional: GGA-PBE
Structure: optimized geometry

a = 6.4271 Å, b = 6.4271 Å, c = 15.5138 Å
α = 90.00°, β = 90.00°, γ = 120.00°
Space group R3m (No. 160, hexagonal axes)
Symmetry-distinct sites (fractional):
Na 0.0000 0.0000 0.0000 x3
Pa 0.0000 0.0000 0.4111 x3
Nb 0.0000 0.0000 0.6312 x3
Nb 0.1718 0.3436 0.8422 x9
N 0.0000 0.0000 0.2537 x3
N 0.0000 0.0000 0.7612 x3
N 0.0167 0.5083 0.2407 x9
N 0.0401 0.5200 0.7677 x9

Computed properties:
uncorrected formation energy = -0.801 eV per atom
crystal system = trigonal


Record 2
Compound: Sr2MgAs
Source: Alexandria
Functional: GGA-PBE
Structure: optimized geometry

a = 4.434 Å, b = 4.770 Å, c = 12.362 Å
α = 90.00°, β = 90.00°, γ = 90.00°
Space group Amm2 (No. 38)
Symmetry-distinct sites (fractional):
Sr 0.000 0.000 0.000 x2
Sr 0.500 0.000 0.289 x2
Mg 0.500 0.000 0.590 x2
As 0.000 0.000 0.728 x2

Computed properties:
formation energy = -0.63 eV per atom
crystal system = orthorhombic


Record 3
Compound: SiAsOsBr2
Source: Alexandria
Functional: GGA-PBE
Structure: optimized geometry

a = 4.865 Å, b = 4.865 Å, c = 5.146 Å
α = 90.00°, β = 90.00°, γ = 90.00°
Space group P4/mmm (No. 123)
Symmetry-distinct sites (fractional):
Si 0.000 0.000 0.000 x1
As 0.000 0.000 0.500 x1
Os 0.500 0.500 0.500 x1
Br 0.000 0.500 0.000 x2

Computed properties:
uncorrected formation energy = 1.412 eV per atom
crystal system = tetragonal